The following is a PBE calculation of an optimized crystal structure of DyYAsO, from OQMD via LeMat-Bulk.

Cell: 4.1519 7.6444 5.8776 Å, 90.00 90.00 90.00°
Space group Pmc2_1 (No. 26)
Inequivalent atoms, fractional coordinates:
Dy1 0.0000 0.2106 0.0000 (multiplicity 2)
Y1 0.5000 0.3860 0.5683 (multiplicity 2)
As1 0.0000 0.1573 0.4908 (multiplicity 2)
O1 0.5000 0.3277 0.9443 (multiplicity 2)

Excess energy over the best structure of this formula in the dataset   1.3 meV/atom
Calculated volume   23.318 Å³ per atom

The following is a PBE calculation of an optimized crystal structure of Lu4BiPC2, from OQMD via LeMat-Bulk.

Cell: 3.5979 3.5979 14.1521 Å, 90.00 90.00 120.00°
Space group P-6m2 (No. 187)
Inequivalent atoms, fractional coordinates:
Lu1 0.0000 0.0000 0.1312 (multiplicity 2)
Lu2 0.6667 0.3333 0.3137 (multiplicity 2)
Bi1 0.0000 0.0000 0.5000 (multiplicity 1)
P1 0.6667 0.3333 0.0000 (multiplicity 1)
C1 0.3333 0.6667 0.2311 (multiplicity 2)

Calculated volume   19.831 Å³ per atom

The following is a PBE calculation of an optimized crystal structure of Sc2BeNi, from OQMD via LeMat-Bulk.

Cell: 6.1572 6.1572 6.1572 Å, 90.00 90.00 90.00°
Space group F-43m (No. 216)
Inequivalent atoms, fractional coordinates:
Sc1 0.0000 0.0000 0.0000 (multiplicity 4)
Sc2 0.2500 0.2500 0.2500 (multiplicity 4)
Be1 0.0000 0.0000 0.5000 (multiplicity 4)
Ni1 0.2500 0.2500 0.7500 (multiplicity 4)

Calculated volume   14.589 Å³ per atom

The following is a PBE calculation of an optimized crystal structure of LiTmGa2Pd4, from OQMD via LeMat-Bulk.

Cell: 4.4877 4.4877 6.3295 Å, 90.00 90.00 90.00°
Space group P4/mmm (No. 123)
Inequivalent atoms, fractional coordinates:
Li1 0.0000 0.0000 0.0000 (multiplicity 1)
Tm1 0.5000 0.5000 0.5000 (multiplicity 1)
Ga1 0.0000 0.0000 0.5000 (multiplicity 1)
Ga2 0.5000 0.5000 0.0000 (multiplicity 1)
Pd1 0.0000 0.5000 0.2320 (multiplicity 4)

Calculated volume   15.934 Å³ per atom

The following is a PBE calculation of an optimized crystal structure of YMgSiIr, from OQMD via LeMat-Bulk.

Cell: 6.5272 6.5272 6.5272 Å, 90.00 90.00 90.00°
Space group F-43m (No. 216)
Inequivalent atoms, fractional coordinates:
Y1 0.0000 0.0000 0.0000 (multiplicity 4)
Mg1 0.2500 0.2500 0.2500 (multiplicity 4)
Si1 0.0000 0.0000 0.5000 (multiplicity 4)
Ir1 0.2500 0.2500 0.7500 (multiplicity 4)

Excess energy over the best structure of this formula in the dataset   0.0 meV/atom
Calculated volume   17.381 Å³ per atom

The following is a PBE calculation of an optimized crystal structure of KYAlAu, from OQMD via LeMat-Bulk.

Cell: 7.4749 7.4749 7.4749 Å, 90.00 90.00 90.00°
Space group F-43m (No. 216)
Inequivalent atoms, fractional coordinates:
K1 0.0000 0.0000 0.0000 (multiplicity 4)
Y1 0.0000 0.0000 0.5000 (multiplicity 4)
Al1 0.2500 0.2500 0.2500 (multiplicity 4)
Au1 0.2500 0.2500 0.7500 (multiplicity 4)

Excess energy over the best structure of this formula in the dataset   52.9 meV/atom
Calculated volume   26.104 Å³ per atom

The following is a PBE calculation of an optimized crystal structure of LiCd2Pt, from OQMD via LeMat-Bulk.

Cell: 4.6057 4.6057 6.5608 Å, 90.00 90.00 90.00°
Space group I4/mmm (No. 139)
Inequivalent atoms, fractional coordinates:
Li1 0.0000 0.0000 0.0000 (multiplicity 2)
Cd1 0.0000 0.5000 0.2500 (multiplicity 4)
Pt1 0.0000 0.0000 0.5000 (multiplicity 2)

Excess energy over the best structure of this formula in the dataset   0.0 meV/atom
Calculated volume   17.396 Å³ per atom

The following is a PBE calculation of an optimized crystal structure of SrOsNO, from OQMD via LeMat-Bulk.

Cell: 4.0076 5.3604 5.9101 Å, 90.00 90.00 90.00°
Space group Pmc2_1 (No. 26)
Inequivalent atoms, fractional coordinates:
Sr1 0.0000 0.2366 0.0000 (multiplicity 2)
Os1 0.5000 0.2917 0.5212 (multiplicity 2)
N1 0.5000 0.4876 0.2634 (multiplicity 2)
O1 0.0000 0.2095 0.5355 (multiplicity 2)

Excess energy over the best structure of this formula in the dataset   145.7 meV/atom
Calculated volume   15.870 Å³ per atom

The following is a PBE calculation of an optimized crystal structure of DyNbN2O, from OQMD via LeMat-Bulk.

Cell: 7.9198 7.9613 11.1205 Å, 90.00 134.51 90.00°
Space group P2_1/c (No. 14)
Inequivalent atoms, fractional coordinates:
Dy1 0.2151 0.0109 0.4768 (multiplicity 4)
Dy2 0.2365 0.5055 0.4962 (multiplicity 4)
Nb1 0.2668 0.2470 0.2574 (multiplicity 4)
Nb2 0.2691 0.7472 0.7630 (multiplicity 4)
N1 0.1763 0.0043 0.1989 (multiplicity 4)
N2 0.2329 0.5047 0.2659 (multiplicity 4)
N3 0.4281 0.2360 0.6788 (multiplicity 4)
N4 0.4298 0.7145 0.0007 (multiplicity 4)
O1 0.0820 0.7235 0.0007 (multiplicity 4)
O2 0.0862 0.2429 0.8376 (multiplicity 4)

Calculated volume   12.500 Å³ per atom

The following is a PBE calculation of an optimized crystal structure of RbGeSbIr2, from OQMD via LeMat-Bulk.

Cell: 4.1567 4.1567 14.7647 Å, 90.00 90.00 90.00°
Space group I4mm (No. 107)
Inequivalent atoms, fractional coordinates:
Rb1 0.0000 0.0000 0.0000 (multiplicity 2)
Ge1 0.0000 0.0000 0.3560 (multiplicity 2)
Sb1 0.0000 0.0000 0.6576 (multiplicity 2)
Ir1 0.0000 0.5000 0.2652 (multiplicity 4)

Calculated volume   25.511 Å³ per atom

The following is a PBE calculation of an optimized crystal structure of Cs2Cd, from OQMD via LeMat-Bulk.

Cell: 11.3510 11.3510 11.3510 Å, 90.00 90.00 90.00°
Space group Fd-3m (No. 227, origin choice 2)
Inequivalent atoms, fractional coordinates:
Cs1 0.0000 0.0000 0.0000 (multiplicity 16)
Cd1 0.1250 0.1250 0.6250 (multiplicity 8)

Calculated volume   60.938 Å³ per atom

The following is a PBE calculation of an optimized crystal structure of SmSi2TcOs, from OQMD via LeMat-Bulk.

Cell: 4.2007 4.2007 9.8959 Å, 90.00 90.00 90.00°
Space group I-4m2 (No. 119)
Inequivalent atoms, fractional coordinates:
Sm1 0.0000 0.0000 0.0000 (multiplicity 2)
Si1 0.0000 0.0000 0.3706 (multiplicity 4)
Tc1 0.0000 0.5000 0.7500 (multiplicity 2)
Os1 0.0000 0.5000 0.2500 (multiplicity 2)

Calculated volume   17.462 Å³ per atom

Asked for electronic total energy across the records above, the calculation gives -7.135, -6.491, -5.586, -4.890, -5.990, -3.658, -2.881, -7.253, -9.010, -5.798, -0.539, -8.092 eV per atom in order.